{"formula": "ZrNb2Cd", "functional": "GGA-PBE", "state": "relaxed", "lattice": [[-6.4020, -2.5274, 3.5781], [-1.3718, -4.8608, -5.8879], [-2.3664, -5.7013, 0.1479]], "species": ["Nb", "Nb", "Nb", "Nb", "Cd", "Cd", "Zr", "Zr"], "fractional_positions": [[0.3750, 0.3660, 0.7500], [0.1160, 0.6250, 0.2500], [0.8750, 0.8840, 0.7500], [0.6340, 0.1250, 0.2500], [0.7500, 0.2500, 0.5000], [0.0000, 0.0000, 0.0000], [0.5000, 0.5000, 0.0000], [0.2500, 0.7500, 0.5000]], "total_magnetization_mub_per_atom": 0.000, "vol_a3_per_fu": 85, "e_form_mev_per_atom": 655}

{"formula": "Zr2NbCd", "functional": "GGA-PBE", "state": "relaxed", "lattice": [[3.2055, 0.0000, 0.0000], [1.6027, 2.7760, 0.0000], [1.6027, 0.9253, 9.8878]], "species": ["Zr", "Zr", "Nb", "Cd"], "fractional_positions": [[0.2539, 0.2539, 0.2382], [0.7461, 0.7461, 0.7618], [0.0000, 0.0000, 0.0000], [0.5000, 0.5000, 0.5000]], "total_magnetization_mub_per_atom": 0.000, "vol_a3_per_fu": 88, "e_form_mev_per_atom": 100}

{"formula": "Zr2NbCd", "functional": "GGA-PBE", "state": "relaxed", "lattice": [[4.0382, 0.0000, 0.0000], [0.0000, 4.5564, 0.0000], [0.0000, 0.0000, 4.5564]], "species": ["Zr", "Zr", "Nb", "Cd"], "fractional_positions": [[0.0000, 0.0000, 0.5000], [0.0000, 0.5000, 0.0000], [0.5000, 0.5000, 0.5000], [0.5000, 0.0000, 0.0000]], "total_magnetization_mub_per_atom": 0.000, "vol_a3_per_fu": 84, "e_form_mev_per_atom": 18}

{"formula": "ZrNbCd3", "functional": "GGA-PBE", "state": "relaxed", "lattice": [[5.1904, 0.0000, 0.0000], [0.0000, 5.1904, 0.0000], [0.0000, 0.0000, 5.1904]], "species": ["Nb", "Cd", "Cd", "Cd", "Zr"], "fractional_positions": [[0.0000, 0.0000, 0.0000], [0.0000, 0.5000, 0.0000], [0.0000, 0.0000, 0.5000], [0.5000, 0.0000, 0.0000], [0.5000, 0.5000, 0.5000]], "total_magnetization_mub_per_atom": 0.000, "vol_a3_per_fu": 140, "e_form_mev_per_atom": 1202}

{"formula": "Zr2NbCd", "functional": "GGA-PBE", "state": "relaxed", "lattice": [[-3.2001, -1.4418, -0.1800], [1.2249, -2.9111, 1.5416], [-1.5347, 2.6331, 6.1920]], "species": ["Cd", "Nb", "Zr", "Zr"], "fractional_positions": [[0.5000, 0.5000, 0.5000], [0.5000, 0.5000, 0.0000], [0.0000, 0.0000, 0.2309], [0.0000, 0.0000, 0.7691]], "total_magnetization_mub_per_atom": 0.000, "vol_a3_per_fu": 85, "e_form_mev_per_atom": -54}

{"formula": "Zr2NbCd", "functional": "GGA-PBE", "state": "relaxed", "lattice": [[-3.4197, -1.0476, 2.1705], [-1.8903, -1.1715, -3.5437], [1.0132, -10.6219, 0.5015]], "species": ["Zr", "Zr", "Zr", "Zr", "Nb", "Nb", "Cd", "Cd"], "fractional_positions": [[0.1352, 0.6250, 0.2500], [0.3750, 0.3852, 0.7500], [0.6148, 0.1250, 0.2500], [0.8750, 0.8648, 0.7500], [0.5000, 0.5000, 0.0000], [0.2500, 0.7500, 0.5000], [0.7500, 0.2500, 0.5000], [0.0000, 0.0000, 0.0000]], "total_magnetization_mub_per_atom": 0.000, "vol_a3_per_fu": 90, "e_form_mev_per_atom": 521}

{"formula": "Zr2NbCd2", "functional": "GGA-PBE", "state": "relaxed", "lattice": [[-4.3792, -3.8209, 0.1015], [-0.9184, -8.0140, 2.5048], [-3.8157, -2.8852, 3.3019]], "species": ["Nb", "Cd", "Cd", "Zr", "Zr"], "fractional_positions": [[0.0000, 0.5000, 0.0000], [0.5964, 0.6907, 0.5963], [0.4036, 0.3093, 0.4037], [0.2190, 0.8679, 0.2190], [0.7810, 0.1321, 0.7810]], "total_magnetization_mub_per_atom": 0.000, "vol_a3_per_fu": 106, "relative_energy_mev_per_atom": 0, "e_form_mev_per_atom": 31}

{"formula": "ZrNbCd", "functional": "GGA-PBE", "state": "relaxed", "lattice": [[-0.5927, -2.2320, 5.2291], [3.3268, -4.8910, 1.4139], [2.8114, 1.4116, 4.0457]], "species": ["Zr", "Zr", "Nb", "Nb", "Cd", "Cd"], "fractional_positions": [[0.6649, 0.0000, 0.6702], [0.3351, 0.0000, 0.3298], [0.1131, 0.7738, 0.0000], [0.8869, 0.2262, 0.0000], [0.7500, 0.5000, 0.5000], [0.2500, 0.5000, 0.5000]], "total_magnetization_mub_per_atom": 0.000, "vol_a3_per_fu": 65, "relative_energy_mev_per_atom": 306, "e_form_mev_per_atom": 244}

{"formula": "ZrNbCd", "functional": "GGA-PBE", "state": "relaxed", "lattice": [[-2.1216, -0.8889, -2.7317], [-0.2961, -3.3102, 1.3071], [-2.6999, 3.4716, 3.3017]], "species": ["Cd", "Zr", "Nb"], "fractional_positions": [[0.0052, 0.0052, 0.0104], [0.3277, 0.3277, 0.6555], [0.6671, 0.6671, 0.3341]], "total_magnetization_mub_per_atom": 0.000, "vol_a3_per_fu": 62, "relative_energy_mev_per_atom": 213, "e_form_mev_per_atom": 151}

{"formula": "Zr2NbCd2", "functional": "GGA-PBE", "state": "relaxed", "lattice": [[7.9786, 0.0000, 0.0000], [0.0000, 7.9786, 0.0000], [0.0000, 0.0000, 3.4106]], "species": ["Zr", "Zr", "Zr", "Zr", "Cd", "Cd", "Cd", "Cd", "Nb", "Nb"], "fractional_positions": [[0.6789, 0.8211, 0.5000], [0.8211, 0.3211, 0.5000], [0.1789, 0.6789, 0.5000], [0.3211, 0.1789, 0.5000], [0.8768, 0.6232, 0.0000], [0.1232, 0.3768, 0.0000], [0.3768, 0.8768, 0.0000], [0.6232, 0.1232, 0.0000], [0.5000, 0.5000, 0.0000], [0.0000, 0.0000, 0.0000]], "total_magnetization_mub_per_atom": 0.000, "vol_a3_per_fu": 109, "relative_energy_mev_per_atom": 240, "e_form_mev_per_atom": 271}

{"formula": "ZrNbCd2", "functional": "GGA-PBE", "state": "relaxed", "lattice": [[7.9827, 0.0000, 0.0000], [0.0000, 7.9827, 0.0000], [3.9913, 3.9913, 2.7668]], "species": ["Zr", "Zr", "Cd", "Cd", "Cd", "Cd", "Nb", "Nb"], "fractional_positions": [[0.5000, 0.5000, 0.0000], [0.2500, 0.7500, 0.5000], [0.6369, 0.1250, 0.2500], [0.8750, 0.8869, 0.7500], [0.3750, 0.3631, 0.7500], [0.1131, 0.6250, 0.2500], [0.7500, 0.2500, 0.5000], [0.0000, 0.0000, 0.0000]], "total_magnetization_mub_per_atom": 0.000, "vol_a3_per_fu": 88, "relative_energy_mev_per_atom": 259, "e_form_mev_per_atom": 470}

{"formula": "Nd3Cd11", "functional": "GGA-PBE", "state": "relaxed", "lattice": [[-2.3772, 4.2364, 0.9187], [-4.5351, -1.3227, 7.6665], [4.0300, 3.5821, 7.2124]], "species": ["Cd", "Cd", "Cd", "Cd", "Cd", "Cd", "Cd", "Cd", "Cd", "Cd", "Cd", "Nd", "Nd", "Nd"], "fractional_positions": [[0.5000, 0.3298, 0.6702], [0.1429, 0.1408, 0.5733], [0.6536, 0.7073, 0.9855], [0.8571, 0.4267, 0.8592], [0.8571, 0.8592, 0.4267], [0.1429, 0.5733, 0.1408], [0.6536, 0.9855, 0.7073], [0.3464, 0.0145, 0.2927], [0.3464, 0.2927, 0.0145], [0.5000, 0.6702, 0.3298], [0.0000, 0.5000, 0.5000], [0.7103, 0.2897, 0.2897], [0.0000, 0.0000, 0.0000], [0.2897, 0.7103, 0.7103]], "total_magnetization_mub_per_atom": 0.000, "vol_a3_per_fu": 347, "e_form_mev_per_atom": -262}

{"formula": "Nd2Cd3", "functional": "GGA-PBE", "state": "relaxed", "lattice": [[5.1530, 0.0000, 0.0000], [2.5765, 4.4627, 0.0000], [2.5765, 1.4876, 5.9222]], "species": ["Cd", "Cd", "Cd", "Nd", "Nd"], "fractional_positions": [[0.8124, 0.8124, 0.5629], [0.1876, 0.1876, 0.4371], [0.0000, 0.0000, 0.0000], [0.5959, 0.5959, 0.2122], [0.4041, 0.4041, 0.7878]], "total_magnetization_mub_per_atom": 0.000, "vol_a3_per_fu": 136, "relative_energy_mev_per_atom": 42, "e_form_mev_per_atom": -268}

{"formula": "Nd5Cd3", "functional": "GGA-PBE", "state": "relaxed", "lattice": [[3.8144, 0.0000, 0.0000], [0.0000, 3.8144, 0.0000], [0.0000, 0.0000, 16.7481]], "species": ["Nd", "Nd", "Nd", "Nd", "Nd", "Cd", "Cd", "Cd"], "fractional_positions": [[0.0000, 0.0000, 0.0000], [0.5000, 0.5000, 0.6180], [0.0000, 0.0000, 0.7664], [0.0000, 0.0000, 0.2336], [0.5000, 0.5000, 0.3820], [0.0000, 0.0000, 0.5000], [0.5000, 0.5000, 0.1183], [0.5000, 0.5000, 0.8817]], "total_magnetization_mub_per_atom": 0.115, "vol_a3_per_fu": 244, "e_form_mev_per_atom": -227}

{"formula": "NdCd4", "functional": "GGA-PBE", "state": "relaxed", "lattice": [[6.1327, 0.0000, 0.0000], [0.0000, 6.1327, 0.0000], [0.0000, 0.0000, 6.1327]], "species": ["Cd", "Cd", "Cd", "Cd", "Nd"], "fractional_positions": [[0.0000, 0.0000, 0.0000], [0.5000, 0.0000, 0.5000], [0.5000, 0.5000, 0.0000], [0.0000, 0.5000, 0.5000], [0.5000, 0.5000, 0.5000]], "total_magnetization_mub_per_atom": 0.000, "vol_a3_per_fu": 231, "e_form_mev_per_atom": 678}

{"formula": "Nd5Cd", "functional": "GGA-PBE", "state": "relaxed", "lattice": [[-2.2064, 0.1485, -2.9724], [2.6972, -1.4642, -2.0753], [-4.9134, -13.2801, 2.9839]], "species": ["Nd", "Nd", "Nd", "Nd", "Nd", "Cd"], "fractional_positions": [[0.0000, 0.0000, 0.0000], [0.0000, 0.0000, 0.3557], [0.5000, 0.5000, 0.1789], [0.0000, 0.0000, 0.6443], [0.5000, 0.5000, 0.8211], [0.5000, 0.5000, 0.5000]], "total_magnetization_mub_per_atom": 0.000, "vol_a3_per_fu": 199, "relative_energy_mev_per_atom": 0, "e_form_mev_per_atom": -98}

{"formula": "Nd5Cd", "functional": "GGA-PBE", "state": "relaxed", "lattice": [[0.7924, 2.2847, 2.9268], [3.3194, -5.8268, 6.1121], [6.5971, 0.1396, 0.5673]], "species": ["Cd", "Nd", "Nd", "Nd", "Nd", "Nd"], "fractional_positions": [[0.7165, 0.0848, 0.4821], [0.0358, 0.9847, 0.9437], [0.6715, 0.6347, 0.0224], [0.3350, 0.2857, 0.0442], [0.3688, 0.7752, 0.4872], [0.0390, 0.4015, 0.5204]], "total_magnetization_mub_per_atom": 0.000, "vol_a3_per_fu": 198, "relative_energy_mev_per_atom": 14, "e_form_mev_per_atom": -83}

{"formula": "Nd5Cd2", "functional": "GGA-PBE", "state": "relaxed", "lattice": [[-4.1409, 3.6777, 0.6960], [-0.5506, -6.0629, 6.3785], [6.1950, 6.2126, 4.0299]], "species": ["Nd", "Nd", "Nd", "Nd", "Nd", "Nd", "Nd", "Nd", "Nd", "Nd", "Cd", "Cd", "Cd", "Cd"], "fractional_positions": [[0.6123, 0.7247, 0.5373], [0.0129, 0.5261, 0.6709], [0.4868, 0.4739, 0.8291], [0.1124, 0.7247, 0.0373], [0.5132, 0.5261, 0.1709], [0.8876, 0.2753, 0.9627], [0.7499, 0.0000, 0.2500], [0.2501, 0.0000, 0.7500], [0.3877, 0.2753, 0.4627], [0.9871, 0.4739, 0.3291], [0.6834, 0.8665, 0.8939], [0.3166, 0.1335, 0.1061], [0.1831, 0.8665, 0.3939], [0.8169, 0.1335, 0.6061]], "total_magnetization_mub_per_atom": 0.000, "vol_a3_per_fu": 221, "relative_energy_mev_per_atom": 0, "e_form_mev_per_atom": -153}

{"formula": "NdCd4", "functional": "GGA-PBE", "state": "relaxed", "lattice": [[-3.3526, 3.0189, -1.9173], [3.0818, -0.4241, -6.0565], [-4.1380, -7.1634, 2.2232]], "species": ["Cd", "Cd", "Cd", "Cd", "Cd", "Cd", "Cd", "Cd", "Nd", "Nd"], "fractional_positions": [[0.3027, 0.7995, 0.6054], [0.5000, 0.5000, 0.0000], [0.3027, 0.3059, 0.6054], [0.6973, 0.2005, 0.3946], [0.5000, 0.0000, 0.0000], [0.1138, 0.3638, 0.2276], [0.6973, 0.6941, 0.3946], [0.8862, 0.6362, 0.7724], [0.8918, 0.1418, 0.7837], [0.1082, 0.8582, 0.2163]], "total_magnetization_mub_per_atom": 0.000, "vol_a3_per_fu": 125, "e_form_mev_per_atom": -240}

{"formula": "Nd13Cd2", "functional": "GGA-PBE", "state": "relaxed", "lattice": [[6.5028, -0.1466, 0.9560], [-1.0169, 8.6305, 0.3328], [0.6283, -3.7822, 8.9009]], "species": ["Nd", "Nd", "Nd", "Nd", "Nd", "Nd", "Nd", "Nd", "Nd", "Nd", "Nd", "Nd", "Nd", "Cd", "Cd"], "fractional_positions": [[0.7077, 0.9873, 0.3489], [0.4753, 0.2069, 0.1524], [0.0518, 0.5817, 0.7071], [0.2923, 0.0127, 0.6511], [0.5247, 0.7931, 0.8476], [0.7918, 0.1821, 0.7713], [0.0000, 0.0000, 0.0000], [0.7477, 0.5959, 0.0558], [0.4556, 0.6285, 0.4157], [0.5444, 0.3715, 0.5843], [0.2082, 0.8179, 0.2287], [0.2523, 0.4041, 0.9442], [0.9482, 0.4183, 0.2929], [0.1228, 0.2058, 0.4559], [0.8772, 0.7942, 0.5441]], "total_magnetization_mub_per_atom": 0.000, "vol_a3_per_fu": 505, "e_form_mev_per_atom": -47}